DFT (GGA-PBE) results for a geometry-optimized MgGaTe2P structure.

Lattice parameters (Å, degrees): 5.3602 4.9276 5.3602 90.00 90.00 90.00
Closest atoms and distances in Å follow each position.
Fractional positions:
Ga 0.0000 0.0000 0.0000  2 Mg 2.46, 4 Te 2.68
Te 0.5000 0.0000 0.0000  2 Ga 2.68
Mg 0.0000 0.5000 0.0000  2 Ga 2.46
Te 0.0000 0.0000 0.5000  2 Ga 2.68
P 0.5000 0.5000 0.5000  8 Te 3.64, 4 Mg 3.79

Results
Uncorrected formation energy = 65.2 kJ per mole of atoms